No. 1
{"formula": "Sr2NiIN", "functional": "PBE", "state": "relaxed", "cell": [[5.2144, 0.0000, 0.0000], [0.0000, 4.7636, 0.0000], [0.0000, 0.0000, 5.2144]], "species": ["I", "Sr", "Sr", "N", "Ni"], "fractional_positions": [[0.0000, 0.5000, 0.0000], [0.0000, 0.0000, 0.5000], [0.5000, 0.0000, 0.0000], [0.0000, 0.0000, 0.0000], [0.5000, 0.5000, 0.5000]], "space_group": "P4/mmm", "formation_energy_uncorrected_ev_per_atom": 0.066}



No. 2
{"formula": "Mg2TaOsF", "functional": "PBE", "state": "relaxed", "cell": [[3.9750, 0.0000, 0.0000], [0.0000, 4.7743, 0.0000], [0.0000, 0.0000, 3.9750]], "species": ["Mg", "Mg", "F", "Os", "Ta"], "fractional_positions": [[0.0000, 0.0000, 0.5000], [0.5000, 0.0000, 0.0000], [0.0000, 0.0000, 0.0000], [0.5000, 0.5000, 0.5000], [0.0000, 0.5000, 0.0000]], "space_group": "P4/mmm", "formation_energy_uncorrected_ev_per_atom": -0.375}



No. 3
{"formula": "Sm3CdH", "functional": "PBE", "state": "relaxed", "cell": [[4.9534, 0.0000, 0.0000], [0.0000, 4.9534, 0.0000], [0.0000, 0.0000, 4.9534]], "species": ["H", "Sm", "Sm", "Sm", "Cd"], "fractional_positions": [[0.0000, 0.0000, 0.0000], [0.0000, 0.5000, 0.0000], [0.0000, 0.0000, 0.5000], [0.5000, 0.0000, 0.0000], [0.5000, 0.5000, 0.5000]], "final_energy_ry_per_atom": -0.2877, "space_group": "Pm-3m"}



No. 4
{"formula": "K3Tl2Se3", "functional": "PBE", "state": "relaxed", "cell": [[4.6326, 0.0000, 0.0000], [-2.3163, 7.2004, 0.0000], [0.0000, 0.0000, 16.8511]], "species": ["K", "K", "K", "K", "K", "K", "Tl", "Tl", "Tl", "Tl", "Se", "Se", "Se", "Se", "Se", "Se"], "fractional_positions": [[0.9482, 0.8964, 0.3887], [0.0518, 0.1036, 0.8887], [0.9482, 0.8964, 0.1113], [0.0518, 0.1036, 0.6113], [0.6820, 0.3639, 0.2500], [0.3180, 0.6361, 0.7500], [0.7513, 0.5026, 0.9139], [0.2487, 0.4974, 0.4139], [0.7513, 0.5026, 0.5861], [0.2487, 0.4974, 0.0861], [0.6162, 0.2324, 0.4386], [0.3838, 0.7676, 0.9386], [0.6162, 0.2324, 0.0614], [0.3838, 0.7676, 0.5614], [0.3439, 0.6879, 0.2500], [0.6561, 0.3121, 0.7500]], "space_group": "Cmcm", "formation_energy_uncorrected_ev_per_atom": -0.736}



No. 5
{"formula": "Mg2UAlO6", "functional": "PBE", "state": "relaxed", "cell": [[4.5407, 0.0000, 0.0000], [0.0000, 5.4148, 0.0000], [0.0000, 0.0000, 5.4148]], "species": ["Mg", "Mg", "U", "Al", "O", "O", "O", "O", "O", "O"], "fractional_positions": [[0.9569, 0.5000, 0.0000], [0.9569, 0.0000, 0.5000], [0.6129, 0.5000, 0.5000], [0.6104, 0.0000, 0.0000], [0.7341, 0.2356, 0.2356], [0.7341, 0.2356, 0.7644], [0.1488, 0.5000, 0.5000], [0.2244, 0.0000, 0.0000], [0.7341, 0.7644, 0.7644], [0.7341, 0.7644, 0.2356]], "space_group": "P4mm", "formation_energy_uncorrected_ev_per_atom": -2.550}



No. 6
{"formula": "BePb", "functional": "PBE", "state": "relaxed", "cell": [[5.0223, 0.0000, 0.0000], [2.5112, 4.3495, 0.0000], [2.5112, 1.4498, 4.1007]], "species": ["Pb", "Pb", "Be", "Be"], "fractional_positions": [[0.5000, 0.5000, 0.5000], [0.7500, 0.7500, 0.7500], [0.0000, 0.0000, 0.0000], [0.2500, 0.2500, 0.2500]], "space_group": "Fd-3m", "ef_ev_per_fu": 2.0}



No. 7
{"formula": "Ru2SeN", "functional": "PBE", "state": "relaxed", "cell": [[0.9599, -1.0698, 3.8759], [-2.8505, 0.2608, 2.9824], [-1.5884, -3.4425, 1.6477]], "species": ["Ru", "Ru", "Se", "N"], "fractional_positions": [[0.2500, 0.2500, 0.2500], [0.7500, 0.7500, 0.7500], [0.5000, 0.5000, 0.5000], [0.0000, 0.0000, 0.0000]], "space_group": "Fm-3m", "formation_energy_uncorrected_ev_per_atom": 0.843}



No. 8
{"formula": "Ce5Se5O", "functional": "PBE", "state": "relaxed", "cell": [[-1.7184, -5.2973, -1.6790], [7.0145, 0.9951, -0.2434], [-1.9026, -1.8110, 7.6612]], "species": ["Ce", "Ce", "Ce", "Ce", "Ce", "Se", "Se", "Se", "Se", "Se", "O"], "fractional_positions": [[0.8483, 0.6966, 0.1521], [0.8477, 0.6953, 0.6941], [0.5000, 0.0000, 0.0000], [0.1523, 0.3047, 0.3059], [0.1517, 0.3034, 0.8479], [0.6775, 0.3550, 0.3357], [0.6599, 0.3198, 0.8196], [0.0000, 0.0000, 0.5000], [0.3401, 0.6802, 0.1804], [0.3225, 0.6450, 0.6643], [0.0000, 0.0000, 0.0000]], "space_group": "C2/m", "formation_energy_uncorrected_ev_per_atom": -1.877}